(1)
VASP calculation (PBE-GGA) on crystalline CrSbP at its relaxed geometry.

abc: 7.557 3.286 9.060
angles: 90.00 120.85 90.00
Atoms (fractional coordinates):
Cr: 0.228 0.000 0.172
Cr: 0.772 0.500 0.328
Cr: 0.228 0.500 0.672
Cr: 0.772 0.000 0.828
Sb: 0.870 0.500 0.086
Sb: 0.130 0.000 0.414
Sb: 0.870 0.000 0.586
Sb: 0.130 0.500 0.914
P: 0.471 0.000 0.855
P: 0.529 0.500 0.645
P: 0.529 0.000 0.145
P: 0.471 0.500 0.355

Output
E above lowest polymorph in eV/atom: 0.0831
Formation energy without anion corrections in kJ/mol of formula units: -23
Raw total energy in eV for the cell shown: -77.6

(2)
VASP calculation (PBE-GGA) on crystalline Ba2ScCo at its relaxed geometry.

abc: 9.856 9.856 9.856
angles: 24.76 24.76 24.76
Atoms (fractional coordinates):
Ba: 0.215 0.215 0.215
Ba: 0.023 0.023 0.023
Sc: 0.786 0.786 0.786
Co: 0.476 0.476 0.476

Output
Energy relative to the elements in eV per atom: 0.216
E above lowest polymorph in eV/atom: 0.0219
Raw total energy in eV for the cell shown: -16.4

(3)
VASP calculation (PBE-GGA) on crystalline AlMo6W2 at its relaxed geometry.

abc: 4.545 5.040 7.360
angles: 69.98 81.80 65.39
Atoms (fractional coordinates):
Mo: 0.669 0.656 0.500
Mo: 0.169 0.831 0.167
Mo: 0.831 0.169 0.833
Mo: 0.169 0.499 0.833
Mo: 0.831 0.501 0.167
Mo: 0.331 0.344 0.500
Al: 0.000 0.000 0.500
W: 0.500 0.844 0.812
W: 0.500 0.156 0.188

Output
Energy relative to the elements in eV per atom: 0.123
Raw total energy in eV for the cell shown: -93.5

(4)
VASP calculation (PBE-GGA) on crystalline BaAc2Pm at its relaxed geometry.

abc: 3.985 3.985 13.294
angles: 81.38 81.38 60.00
Atoms (fractional coordinates):
Pm: 0.500 0.500 0.500
Ac: 0.243 0.243 0.272
Ac: 0.090 0.090 0.729
Ba: 0.667 0.667 0.998

Output
Energy relative to the elements in eV per atom: 0.075
E above lowest polymorph in eV/atom: 0.0145
Raw total energy in eV for the cell shown: -14.6

(5)
VASP calculation (PBE-GGA) on crystalline Tl2ZnMo2 at its relaxed geometry.

abc: 3.541 3.541 9.507
angles: 79.27 79.27 90.00
Atoms (fractional coordinates):
Tl: 0.607 0.607 0.785
Tl: 0.393 0.393 0.215
Mo: 0.750 0.250 0.500
Mo: 0.250 0.750 0.500
Zn: 0.000 0.000 0.000

Output
Energy relative to the elements in eV per atom: 0.698
E above lowest polymorph in eV/atom: 0.0000
Raw total energy in eV for the cell shown: -24.2

(6)
VASP calculation (PBE-GGA) on crystalline Y2MnHgOs at its relaxed geometry.

abc: 5.483 4.757 5.483
angles: 90.00 90.00 90.00
Last column: magnetic moment on the atom in μB.
Atoms (fractional coordinates):
Y: 0.000 0.000 0.500  0.03
Y: 0.500 0.000 0.000  0.03
Mn: 0.000 0.500 0.000  3.91
Hg: 0.000 0.000 0.000  -0.01
Os: 0.500 0.500 0.500  -0.80

Output
Energy relative to the elements in eV per atom: 1.243
Raw total energy in eV for the cell shown: -27.4

(7)
VASP calculation (PBE-GGA) on crystalline SrAuCl3 at its relaxed geometry.

abc: 5.226 5.226 5.226
angles: 90.00 90.00 90.00
Atoms (fractional coordinates):
Au: 0.000 0.000 0.000
Sr: 0.500 0.500 0.500
Cl: 0.000 0.500 0.000
Cl: 0.000 0.000 0.500
Cl: 0.500 0.000 0.000

Output
E above lowest polymorph in eV/atom: 0.0000
Formation energy without anion corrections in kJ/mol of formula units: -506
Raw total energy in eV for the cell shown: -15.7

(8)
VASP calculation (PBE-GGA) on crystalline La3Y2Tl at its relaxed geometry.

abc: 7.337 6.654 13.508
angles: 92.75 124.72 122.20
Atoms (fractional coordinates):
La: 0.193 0.405 0.620
La: 0.946 0.734 0.945
La: 0.344 0.999 0.738
La: 0.054 0.266 0.055
La: 0.656 0.001 0.262
La: 0.807 0.595 0.380
Y: 0.636 0.341 0.597
Y: 0.378 0.655 0.934
Y: 0.622 0.345 0.066
Y: 0.364 0.659 0.403
Tl: 0.143 0.998 0.266
Tl: 0.857 0.002 0.734

Output
Energy relative to the elements in eV per atom: -0.117
Raw total energy in eV for the cell shown: -61.6

(9)
VASP calculation (PBE-GGA) on crystalline PtRh2Br at its relaxed geometry.

abc: 4.584 4.584 8.079
angles: 56.50 56.50 36.80
Atoms (fractional coordinates):
Pt: 0.750 0.750 0.750
Rh: 0.938 0.938 0.913
Rh: 0.562 0.562 0.587
Br: 0.250 0.250 0.250

Output
E above lowest polymorph in eV/atom: 0.0555
Formation energy without anion corrections in kJ/mol of formula units: 136
Raw total energy in eV for the cell shown: -21.0

(10)
VASP calculation (PBE-GGA) on crystalline BiAu at its relaxed geometry.

abc: 8.654 8.654 5.212
angles: 90.00 90.00 120.00
Atoms (fractional coordinates):
Au: 0.368 0.886 0.750
Au: 0.114 0.482 0.750
Au: 0.518 0.632 0.750
Au: 0.632 0.114 0.250
Au: 0.482 0.368 0.250
Au: 0.886 0.518 0.250
Bi: 0.021 0.280 0.250
Bi: 0.979 0.720 0.750
Bi: 0.259 0.979 0.250
Bi: 0.280 0.259 0.750
Bi: 0.720 0.741 0.250
Bi: 0.741 0.021 0.750

Output
Energy relative to the elements in eV per atom: 0.085
Raw total energy in eV for the cell shown: -41.9

(11)
VASP calculation (PBE-GGA) on crystalline PrSmDy3Er at its relaxed geometry.

abc: 5.062 8.007 10.127
angles: 90.00 90.00 108.50
Atoms (fractional coordinates):
Dy: 0.168 0.337 0.750
Dy: 0.669 0.337 0.000
Dy: 0.331 0.663 0.500
Dy: 0.832 0.663 0.250
Dy: 0.331 0.663 0.000
Dy: 0.669 0.337 0.500
Er: 0.832 0.664 0.750
Er: 0.168 0.336 0.250
Pr: 0.000 0.000 0.500
Pr: 0.000 0.000 0.000
Sm: 0.500 0.000 0.250
Sm: 0.500 0.000 0.750

Output
Energy relative to the elements in eV per atom: 0.022
Raw total energy in eV for the cell shown: -55.5

(12)
VASP calculation (PBE-GGA) on crystalline SrPb at its relaxed geometry.

abc: 5.657 5.657 10.938
angles: 90.00 90.00 120.00
Atoms (fractional coordinates):
Pb: 0.667 0.333 0.250
Pb: 0.000 0.000 0.750
Pb: 0.333 0.667 0.750
Pb: 0.000 0.000 0.250
Sr: 0.667 0.333 0.915
Sr: 0.333 0.667 0.085
Sr: 0.333 0.667 0.415
Sr: 0.667 0.333 0.585

Output
Energy relative to the elements in eV per atom: -0.261
Raw total energy in eV for the cell shown: -23.7

Respective spin magnetization values: 0.0 0.0 0.0 0.0 0.0 3.6 0.0 0.0 0.0 0.0 0.0 0.0 μB per formula unit.